[1]
Computed, not measured: a relaxed La2TlZnTc crystal at the GGA-PBE level of DFT.

abc: 5.358 5.358 5.067
angles: 90.00 90.00 90.00
Element x y z (fractional)
Tl 0.500 0.500 0.500
La 0.500 0.000 0.000
La 0.000 0.500 0.000
Tc 0.000 0.000 0.000
Zn 0.000 0.000 0.500

- SG: P4/mmm (123)
- Total DFT energy (no corrections): -4.825 eV per atom



[2]
Computed, not measured: a relaxed Li2Dy2ErPd5 crystal at the GGA-PBE level of DFT.

abc: 3.669 9.888 9.888
angles: 90.00 90.00 90.00
Element x y z (fractional)
Pd 0.500 0.213 0.070
Dy 0.000 0.175 0.325
Pd 0.500 0.787 0.930
Pd 0.500 0.430 0.287
Li 0.000 0.120 0.620
Li 0.000 0.380 0.120
Dy 0.000 0.825 0.675
Pd 0.500 0.000 0.500
Li 0.000 0.620 0.880
Pd 0.500 0.500 0.000
Pd 0.500 0.570 0.713
Dy 0.000 0.325 0.825
Pd 0.500 0.713 0.430
Pd 0.500 0.930 0.213
Pd 0.500 0.287 0.570
Dy 0.000 0.675 0.175
Li 0.000 0.880 0.380
Er 0.000 0.500 0.500
Pd 0.500 0.070 0.787
Er 0.000 0.000 0.000

- SG: P4/mbm (127)
- Total DFT energy (no corrections): -5.111 eV per atom



[3]
Computed, not measured: a relaxed Pm2TlO crystal at the GGA-PBE level of DFT.

abc: 4.667 4.667 9.104
angles: 90.10 90.10 90.00
Element x y z (fractional)
Tl 0.251 0.251 0.803
Pm 0.249 0.249 0.169
Tl 0.749 0.749 0.197
Pm 0.751 0.751 0.831
Pm 0.250 0.750 0.500
O 0.750 0.750 0.574
O 0.250 0.250 0.426
Pm 0.750 0.250 0.500

- Raw formation energy: -1575 meV/atom
- SG: C2/m (12)
- Excess energy over the best structure of this formula in the dataset: 0 meV/atom



[4]
Computed, not measured: a relaxed La2SbRh2 crystal at the GGA-PBE level of DFT.

abc: 5.633 5.633 5.668
angles: 60.21 60.21 90.00
Element x y z (fractional)
Sb 0.000 0.000 0.000
Rh 0.335 0.335 0.330
Rh 0.665 0.665 0.670
La 0.750 0.250 0.500
La 0.250 0.750 0.500

- Raw formation energy: -730 meV/atom
- SG: I4/mmm (139)
- Excess energy over the best structure of this formula in the dataset: 190 meV/atom



[5]
Computed, not measured: a relaxed Y2ThHg crystal at the GGA-PBE level of DFT.

abc: 3.629 3.629 8.743
angles: 90.00 90.00 90.00
Element x y z (fractional)
Hg 0.500 0.500 0.000
Th 0.500 0.500 0.500
Y 0.000 0.000 0.224
Y 0.000 0.000 0.776

- SG: P4/mmm (123)
- Excess energy over the best structure of this formula in the dataset: 0 meV/atom



[6]
Computed, not measured: a relaxed Rb2YVBr6 crystal at the GGA-PBE level of DFT.

abc: 7.848 7.848 7.848
angles: 60.00 60.00 90.00
Element x y z (fractional)
Y 0.000 0.000 0.000
Rb 0.750 0.250 0.500
Br 0.254 0.746 0.000
V 0.500 0.500 0.000
Rb 0.250 0.750 0.500
Br 0.746 0.746 0.000
Br 0.254 0.254 0.493
Br 0.746 0.254 0.000
Br 0.746 0.746 0.507
Br 0.254 0.254 0.000

- Raw formation energy: -1385 meV/atom
- SG: Fm-3m (225)